1.
The following is a DFT calculation (PBE) of Y3Sn4Rh8 after structural relaxation.

For the density of states at the Fermi level, the calculation gives 9.1 states/eV/f.u. The calculation puts the calculated total energy at -6.97 eV/atom. As for the calculated formation energy: -0.686 eV/atom.

Cell lengths 13.058, 13.058, 13.058 Å; angles 90.00, 90.00, 90.00 degrees
Space group Fm-3m (No. 225)
Inequivalent atoms, fractional coordinates:
Y1 0.000 0.000 0.230 x24
Sn1 0.000 0.000 0.000 x4
Sn2 0.000 0.000 0.500 x4
Sn3 0.000 0.250 0.250 x24
Rh1 0.121 0.121 0.379 x32
Rh2 0.170 0.170 0.170 x32

2.
The following is a DFT calculation (PBE) of CeThInSn after structural relaxation.

For the density of states at the Fermi level, the calculation gives 7.1 states/eV/f.u. The calculation puts the calculated total energy at -5.10 eV/atom. As for the calculated formation energy: -0.077 eV/atom. The offset from the most stable computed form comes out at 266 meV per atom.

Cell lengths 5.719, 3.392, 12.240 Å; angles 90.00, 90.00, 90.00 degrees
Space group Amm2 (No. 38)
Inequivalent atoms, fractional coordinates:
Ce1 0.000 0.000 0.000 x2
Th1 0.000 0.000 0.741 x2
In1 0.500 0.000 0.594 x2
Sn1 0.500 0.000 0.867 x2

3.
The following is a DFT calculation (PBE) of Tm2ScPb3 after structural relaxation.

For the density of states at the Fermi level, the calculation gives 3.7 states/eV/f.u. The calculation puts the calculated total energy at -4.77 eV/atom. As for the calculated formation energy: -0.370 eV/atom. The offset from the most stable computed form comes out at 0 meV per atom.

Cell lengths 6.301, 7.575, 7.898 Å; angles 70.78, 70.90, 73.10 degrees
Space group P-1 (No. 2)
Inequivalent atoms, fractional coordinates:
Tm1 0.137 0.158 0.084 x2
Tm2 0.281 0.527 0.239 x2
Sc1 0.437 0.827 0.435 x2
Pb1 0.069 0.167 0.565 x2
Pb2 0.221 0.500 0.731 x2
Pb3 0.386 0.842 0.872 x2

4.
The following is a DFT calculation (PBE) of Zr2TlSe after structural relaxation.

For the density of states at the Fermi level, the calculation gives 5.0 states/eV/f.u. The calculation puts the calculated total energy at -5.52 eV/atom. The offset from the most stable computed form comes out at 798 meV per atom.

Cell lengths 7.172, 7.172, 7.172 Å; angles 90.00, 90.00, 90.00 degrees
Space group F-43m (No. 216)
Inequivalent atoms, fractional coordinates:
Zr1 0.000 0.000 0.000 x4
Zr2 0.250 0.250 0.250 x4
Tl1 0.250 0.250 0.750 x4
Se1 0.000 0.000 0.500 x4

5.
The following is a DFT calculation (PBE) of LaIrCl2 after structural relaxation.

For the density of states at the Fermi level, the calculation gives 3.9 states/eV/f.u. The calculation puts the calculated total energy at -5.10 eV/atom. The offset from the most stable computed form comes out at 258 meV per atom.

Cell lengths 3.993, 4.285, 13.493 Å; angles 90.00, 90.00, 90.00 degrees
Space group Immm (No. 71)
Inequivalent atoms, fractional coordinates:
La1 0.000 0.000 0.000 x2
Ir1 0.000 0.000 0.500 x2
Cl1 0.000 0.500 0.147 x4

6.
The following is a DFT calculation (PBE) of KTi2PdPb after structural relaxation.

For the density of states at the Fermi level, the calculation gives 6.1 states/eV/f.u. The calculation puts the calculated total energy at -3.30 eV/atom. As for the calculated formation energy: 1.856 eV/atom.

Cell lengths 4.486, 4.486, 5.567 Å; angles 90.00, 90.00, 90.00 degrees
Space group P4/mmm (No. 123)
Inequivalent atoms, fractional coordinates:
K1 0.000 0.000 0.000 x1
Ti1 0.000 0.500 0.000 x2
Pd1 0.500 0.500 0.500 x1
Pb1 0.000 0.000 0.500 x1

no.,calculated density (g cm⁻³)
1,9.336
2,8.471
3,10.133
4,8.388
5,5.784
6,6.647